This record from the Alexandria database describes a relaxed structure of K2TcPt. The functional is GGA-PBEsol.

Output
- energy relative to the lowest polymorph listed for this composition (eV per atom) = 0.422
- formation energy (meV per atom) = 899

Unit cell a=3.8228 b=3.8429 c=10.9050 alpha=90.00 beta=90.00 gamma=90.00
Last column: nearest neighbours and their distance in Å.
Space group Cmmm (No. 65)
One atom of each set of equivalent atoms:
K 0.0000 0.0000 0.2393 x4  4 K 2.71
Tc 0.0000 0.5000 0.5000 x2  4 Tc 2.71
Pt 0.0000 0.5000 0.0000 x2  4 Pt 2.71

=====

This record from the Alexandria database describes a relaxed structure of Li2HgBi2. The functional is GGA-PBEsol.

Output
- energy relative to the lowest polymorph listed for this composition (eV per atom) = 0.000
- formation energy (meV per atom) = -243

Unit cell a=8.6431 b=8.6431 c=3.2049 alpha=90.00 beta=90.00 gamma=90.00
Last column: nearest neighbours and their distance in Å.
Space group P4/mbm (No. 127)
One atom of each set of equivalent atoms:
Li 0.1192 0.3808 0.0000 x4  3 Li 2.91-3.20, 6 Bi 2.94-3.08
Hg 0.0000 0.0000 0.5000 x2  4 Bi 3.18, 2 Hg 3.20
Bi 0.1790 0.6790 0.5000 x4  6 Li 2.94-3.08, 2 Hg 3.18, 2 Bi 3.20

=====

This record from the Alexandria database describes a relaxed structure of Pb3WO. The functional is GGA-PBEsol.

Output
- raw formation energy (eV/atom) = 0.657

Unit cell a=4.7685 b=4.7685 c=4.7685 alpha=90.00 beta=90.00 gamma=90.00
Last column: nearest neighbours and their distance in Å.
Space group Pm-3m (No. 221)
One atom of each set of equivalent atoms:
Pb 0.0000 0.0000 0.5000 x3  2 O 2.38
W 0.5000 0.5000 0.5000 x1  12 Pb 3.37
O 0.0000 0.0000 0.0000 x1  6 Pb 2.38

=====

This record from the Alexandria database describes a relaxed structure of IrPd3O. The functional is GGA-PBEsol.

Output
- raw formation energy (eV/atom) = 0.432

Unit cell a=4.0787 b=4.0787 c=4.0787 alpha=90.00 beta=90.00 gamma=90.00
Last column: nearest neighbours and their distance in Å.
Space group Pm-3m (No. 221)
One atom of each set of equivalent atoms:
Ir 0.0000 0.0000 0.0000 x1  12 Pd 2.88
Pd 0.0000 0.5000 0.5000 x3  2 O 2.04
O 0.5000 0.5000 0.5000 x1  6 Pd 2.04

=====

This record from the Alexandria database describes a relaxed structure of CsNb2Br. The functional is GGA-PBEsol.

Output
- raw formation energy (eV/atom) = 1.528

Unit cell a=6.8169 b=6.8169 c=6.8169 alpha=90.00 beta=90.00 gamma=90.00
Last column: nearest neighbours and their distance in Å.
Space group Fm-3m (No. 225)
One atom of each set of equivalent atoms:
Cs 0.0000 0.0000 0.0000 x4  8 Nb 2.95
Nb 0.2500 0.2500 0.2500 x8  4 Br 2.95, 4 Cs 2.95
Br 0.0000 0.0000 0.5000 x4  8 Nb 2.95

=====

This record from the Alexandria database describes a relaxed structure of La2Os. The functional is GGA-PBEsol.

Output
- formation energy (meV per atom) = 313

Unit cell a=4.9220 b=4.9220 c=3.1490 alpha=90.00 beta=90.00 gamma=120.00
Last column: nearest neighbours and their distance in Å.
Space group P6/mmm (No. 191)
One atom of each set of equivalent atoms:
La 0.3333 0.6667 0.0000 x2  5 La 2.84-3.15
Os 0.0000 0.0000 0.5000 x1  2 Os 3.15, 12 La 3.25

=====

This record from the Alexandria database describes a relaxed structure of Zr2TlAu. The functional is GGA-PBEsol.

Output
- formation energy (meV per atom) = -334

Unit cell a=3.1457 b=4.1606 c=6.1823 alpha=90.00 beta=90.00 gamma=90.00
Last column: nearest neighbours and their distance in Å.
Space group Pmmm (No. 47)
One atom of each set of equivalent atoms:
Zr 0.0000 0.0000 0.2394 x2  4 Zr 2.96-3.22, 4 Au 3.00, 4 Tl 3.07
Tl 0.5000 0.5000 0.5000 x1  8 Zr 3.07, 2 Au 3.09, 2 Tl 3.15
Au 0.5000 0.5000 0.0000 x1  8 Zr 3.00, 2 Tl 3.09, 2 Au 3.15

=====

This record from the Alexandria database describes a relaxed structure of Na3ZrF. The functional is GGA-PBEsol.

Output
- raw formation energy (eV/atom) = -0.207

Unit cell a=4.8887 b=4.8887 c=4.8887 alpha=90.00 beta=90.00 gamma=90.00
Last column: nearest neighbours and their distance in Å.
Space group Pm-3m (No. 221)
One atom of each set of equivalent atoms:
Na 0.0000 0.0000 0.5000 x3  2 F 2.44
Zr 0.5000 0.5000 0.5000 x1  12 Na 3.46
F 0.0000 0.0000 0.0000 x1  6 Na 2.44